The following is a GGA-PBE calculation of a relaxed structure of Ti2InAu, from the Alexandria database.

a = 2.985 Å, b = 2.985 Å, c = 8.131 Å
α = 90.00°, β = 90.00°, γ = 90.00°
Fractional positions:
Ti1 0.000 0.000 0.235
Ti2 0.000 0.000 0.765
In1 0.500 0.500 0.500
Au1 0.500 0.500 0.000

Computed properties:
SG: P4/mmm
Energy of formation, meV per atom: -260
E, eV/f.u.: -22.8